# 1
Below is crystalline CsAgCl2F at its relaxed geometry, with properties calculated at the PBE-GGA level.

Summary:
Crystal system: tetragonal

Cell and atoms, written as POSCAR:
```
CsAgCl2F
1.0
5.1869 0.0000 0.0000
0.0000 5.1869 0.0000
0.0000 0.0000 4.6335
Cs Ag Cl F
1 1 2 1
Cartesian
0.0000 0.0000 0.0000 Cs
2.5934 2.5934 2.3168 Ag
0.0000 2.5934 2.3168 Cl
2.5934 0.0000 2.3168 Cl
2.5934 2.5934 0.0000 F
```

# 2
Below is crystalline CsAgCl2F8 at its relaxed geometry, with properties calculated at the PBE-GGA level.

Summary:
Crystal system: trigonal

Cell and atoms, written as POSCAR:
```
CsAgCl2F8
1.0
6.6195 0.0000 0.0000
-3.3098 5.7327 0.0000
0.0000 0.0000 7.6540
Cs Ag Cl F
1 1 2 8
Cartesian
0.0000 0.0000 0.0000 Cs
0.0000 0.0000 3.8270 Ag
0.0000 3.8218 6.4382 Cl
3.3098 1.9109 1.2158 Cl
-0.0834 1.5755 5.0108 F
-1.9036 5.0172 5.0108 F
1.3227 0.8600 2.6432 F
0.0000 3.8218 0.4444 F
3.3098 1.9109 7.2097 F
1.9871 4.8727 5.0108 F
5.2134 0.7155 2.6432 F
3.3932 4.1572 2.6432 F
```

# 3
Below is crystalline CsAg2Cl2F at its relaxed geometry, with properties calculated at the PBE-GGA level.

Summary:
Crystal system: monoclinic

Cell and atoms, written as POSCAR:
```
CsAg2Cl2F
1.0
7.0166 0.0000 0.0000
0.0000 6.1434 0.0000
-0.6035 0.0000 7.8405
Cs Ag Cl F
2 4 4 2
Cartesian
1.4750 1.5359 0.9862 Cs
4.9380 4.6076 6.8543 Cs
1.4847 3.1735 4.7422 Ag
1.4847 6.0417 4.7422 Ag
4.9283 0.1017 3.0983 Ag
4.9283 2.9700 3.0983 Ag
0.0835 4.6076 2.7152 Cl
1.4556 4.6076 6.9182 Cl
4.9574 1.5359 0.9223 Cl
6.3296 1.5359 5.1253 Cl
2.7028 1.5359 3.6021 F
3.7102 4.6076 4.2384 F
```

# 4
Below is crystalline Cs2AgClF6 at its relaxed geometry, with properties calculated at the PBE-GGA level.

Summary:
Crystal system: tetragonal

Cell and atoms, written as POSCAR:
```
Cs2AgClF6
1.0
-3.1088 3.1088 5.2784
3.1088 -3.1088 5.2784
3.1088 3.1088 -5.2784
Cs Ag Cl F
2 1 1 6
Cartesian
3.1088 0.0000 2.6392 Cs
0.0000 3.1088 2.6392 Cs
0.0000 0.0000 0.0000 Ag
0.0000 0.0000 5.2784 Cl
0.0000 0.0000 2.1163 F
1.7497 1.7497 0.0000 F
1.3591 -1.3591 5.2784 F
-1.3591 1.3591 5.2784 F
1.3591 1.3591 5.2784 F
0.0000 0.0000 8.4404 F
```

E_form (uncorrected) in meV per atom, matching the order above: -1301 -972 -1154 -1639
Total moment in μB/atom, matching the order above: 0.000 0.000 0.000 0.000
Total energy in eV/atom, matching the order above: -3.155 -2.836 -3.174 -3.402